Entry 1:
# PBE LiMoOs2, relaxed
# - calculated total energy (Ry per atom) = -0.62995
# - total magnetization (μB/cell) = 0.000
# - calculated formation energy (eV/atom) = 0.230
# - energy relative to the lowest polymorph listed for this composition (meV/atom) = 102.9
data_LiMoOs2
_cell_length_a 8.563
_cell_length_b 2.710
_cell_length_c 4.917
_cell_angle_alpha 90.00
_cell_angle_beta 95.37
_cell_angle_gamma 90.00
_symmetry_space_group_name_H-M 'C 1 2/m 1'
_symmetry_Int_Tables_number 12
loop_
_symmetry_equiv_pos_as_xyz
'x,y,z'
'-x,-y,-z'
'-x,y,-z'
'x,-y,z'
'x+1/2,y+1/2,z'
'-x+1/2,-y+1/2,-z'
'-x+1/2,y+1/2,-z'
'x+1/2,-y+1/2,z'
loop_
_atom_site_label
_atom_site_type_symbol
_atom_site_fract_x
_atom_site_fract_y
_atom_site_fract_z
Li1 Li 0.000 0.000 0.000
Mo1 Mo 0.000 0.500 0.500
Os1 Os 0.247 0.000 0.767


Entry 2:
# PBE Al2TlSe, relaxed
# - calculated total energy (Ry per atom) = -0.24981
# - total magnetization (μB/cell) = 0.000
# - E_form (uncorrected) (meV/atom) = -65
# - energy relative to the lowest polymorph listed for this composition (meV/atom) = 56.5
data_Al2TlSe
_cell_length_a 3.717
_cell_length_b 4.144
_cell_length_c 6.975
_cell_angle_alpha 90.00
_cell_angle_beta 90.00
_cell_angle_gamma 90.00
_symmetry_space_group_name_H-M 'P m m 2'
_symmetry_Int_Tables_number 25
loop_
_symmetry_equiv_pos_as_xyz
'x,y,z'
'-x,-y,z'
'-x,y,z'
'x,-y,z'
loop_
_atom_site_label
_atom_site_type_symbol
_atom_site_fract_x
_atom_site_fract_y
_atom_site_fract_z
Al1 Al 0.000 0.000 0.000
Al2 Al 0.500 0.500 0.024
Tl1 Tl 0.500 0.000 0.357
Se1 Se 0.000 0.500 0.757


Entry 3:
# PBE Tb8In3Ge2, relaxed
# - calculated total energy (Ry per atom) = -0.33439
# - total magnetization (μB/cell) = 0.000
# - calculated formation energy (eV/atom) = -0.358
data_Tb8In3Ge2
_cell_length_a 8.804
_cell_length_b 15.533
_cell_length_c 5.383
_cell_angle_alpha 90.00
_cell_angle_beta 90.00
_cell_angle_gamma 90.00
_symmetry_space_group_name_H-M 'C m m m'
_symmetry_Int_Tables_number 65
_symmetry_space_group_name_Hall '-C 2 2'
loop_
_atom_site_label
_atom_site_type_symbol
_atom_site_fract_x
_atom_site_fract_y
_atom_site_fract_z
Tb1 Tb 0.000 0.109 0.000
Tb2 Tb 0.000 0.311 0.000
Tb3 Tb 0.216 0.373 0.500
In1 In 0.000 0.000 0.500
In2 In 0.177 0.500 0.000
Ge1 Ge 0.000 0.228 0.500